The following is a PBE-GGA calculation of crystalline Mg4Zr2Pb3 at its relaxed geometry, from the Alexandria database.

a b c (Å): 11.213 4.242 10.035
angles (deg): 90.00 115.68 90.00
Space group C2/m (No. 12)
One atom of each set of equivalent atoms:
Mg1 0.011 0.000 0.175
Mg2 0.174 0.500 0.395
Zr1 0.158 0.500 0.719
Pb1 0.000 0.000 0.500
Pb2 0.168 0.500 0.057

Summary:
**V**: 430.1 Å³ per cell
**Formation energy from the elements**: -0.03 eV per atom

The following is a PBE-GGA calculation of crystalline CaMg4Au2 at its relaxed geometry, from the Alexandria database.

a b c (Å): 8.365 8.365 4.476
angles (deg): 90.00 90.00 90.00
Space group P4_2/mnm (No. 136)
One atom of each set of equivalent atoms:
Ca1 0.000 0.000 0.000
Mg1 0.089 0.338 0.500
Au1 0.220 0.780 0.500

Summary:
**V**: 313.2 Å³ per cell
**Formation energy from the elements**: -0.51 eV per atom

The following is a PBE-GGA calculation of crystalline SiBSe2S at its relaxed geometry, from the Alexandria database.

a b c (Å): 4.550 4.550 4.109
angles (deg): 90.00 90.00 90.00
Space group P4/mmm (No. 123)
One atom of each set of equivalent atoms:
Si1 0.000 0.000 0.000
B1 0.000 0.000 0.500
Se1 0.000 0.500 0.500
S1 0.500 0.500 0.000

Summary:
**V**: 85.1 Å³ per cell
**Energy**: -18.727 eV for the cell shown

The following is a PBE-GGA calculation of crystalline La2TeBr at its relaxed geometry, from the Alexandria database.

a b c (Å): 7.729 7.729 7.729
angles (deg): 90.00 90.00 90.00
Space group Fm-3m (No. 225)
One atom of each set of equivalent atoms:
La1 0.250 0.250 0.250
Te1 0.000 0.000 0.000
Br1 0.000 0.000 0.500

Summary:
**V**: 461.7 Å³ per cell
**Energy above the lowest structure with this stoichiometry**: 0.0642 eV per atom

The following is a PBE-GGA calculation of crystalline AsW2Cl at its relaxed geometry, from the Alexandria database.

a b c (Å): 3.282 3.282 6.752
angles (deg): 90.00 90.00 90.00
Space group P4/mmm (No. 123)
One atom of each set of equivalent atoms:
As1 0.000 0.000 0.000
W1 0.500 0.500 0.179
Cl1 0.000 0.000 0.500

Summary:
**V**: 72.7 Å³ per cell
**Energy above the lowest structure with this stoichiometry**: 0.6622 eV per atom

The following is a PBE-GGA calculation of crystalline Rb3InHg4 at its relaxed geometry, from the Alexandria database.

a b c (Å): 7.165 8.692 10.390
angles (deg): 90.00 90.00 90.00
Space group Imm2 (No. 44)
One atom of each set of equivalent atoms:
Rb1 0.000 0.000 0.000
Rb2 0.000 0.239 0.629
In1 0.000 0.500 0.047
Hg1 0.000 0.303 0.280
Hg2 0.220 0.000 0.344

Summary:
**V**: 647.1 Å³ per cell
**Formation energy from the elements**: -0.16 eV per atom

The following is a PBE-GGA calculation of crystalline Ac2TbPm5Nd at its relaxed geometry, from the Alexandria database.

a b c (Å): 5.863 10.997 10.706
angles (deg): 90.00 105.87 90.00
Space group P2_1 (No. 4)
One atom of each set of equivalent atoms:
Ac1 0.113 0.000 0.227
Ac2 0.117 0.588 0.235
Tb1 0.206 0.278 0.413
Pm1 0.019 0.292 0.038
Pm2 0.283 0.580 0.565
Pm3 0.296 0.973 0.592
Pm4 0.390 0.290 0.779
Pm5 0.482 0.010 0.964
Nd1 0.412 0.732 0.822

Summary:
**V**: 663.9 Å³ per cell
**Formation energy from the elements**: 0.14 eV per atom

The following is a PBE-GGA calculation of crystalline FeW3 at its relaxed geometry, from the Alexandria database.

a b c (Å): 2.7734 2.7734 27.3827
angles (deg): 90.00 90.00 120.00
Space group R-3m (No. 166, hexagonal axes)
One atom of each set of equivalent atoms:
Fe1 0.0000 0.0000 0.0000
W1 0.0000 0.0000 0.2569
W2 0.0000 0.0000 0.5000

Summary:
**V**: 182.4 Å³ per cell
**Formation energy from the elements**: 0.40 eV per atom

The following is a PBE-GGA calculation of crystalline LaPm2Pu at its relaxed geometry, from the Alexandria database.

a b c (Å): 5.049 5.049 5.171
angles (deg): 90.00 90.00 90.00
Space group P4/mmm (No. 123)
One atom of each set of equivalent atoms:
La1 0.000 0.000 0.000
Pm1 0.000 0.500 0.500
Pu1 0.500 0.500 0.000

Summary:
**V**: 131.8 Å³ per cell
**Energy above the lowest structure with this stoichiometry**: 0.0307 eV per atom
**Formation energy from the elements**: 0.15 eV per atom

The following is a PBE-GGA calculation of crystalline Tc5Ru at its relaxed geometry, from the Alexandria database.

a b c (Å): 9.972 2.759 6.487
angles (deg): 90.00 104.00 90.00
Space group Cm (No. 8)
One atom of each set of equivalent atoms:
Tc1 0.000 0.000 0.000
Tc2 0.055 0.000 0.610
Tc3 0.220 0.500 0.946
Tc4 0.331 0.000 0.666
Tc5 0.386 0.000 0.278
Ru1 0.165 0.500 0.335

Summary:
**V**: 173.1 Å³ per cell
**Energy above the lowest structure with this stoichiometry**: 0.0000 eV per atom
**Formation energy from the elements**: -0.02 eV per atom

The following is a PBE-GGA calculation of crystalline LiNd2N at its relaxed geometry, from the Alexandria database.

a b c (Å): 3.179 3.179 8.989
angles (deg): 90.00 90.00 90.00
Space group P4/mmm (No. 123)
One atom of each set of equivalent atoms:
Li1 0.000 0.000 0.000
Nd1 0.500 0.500 0.335
N1 0.000 0.000 0.500

Summary:
**V**: 90.9 Å³ per cell
**Energy**: -20.298 eV for the cell shown

The following is a PBE-GGA calculation of crystalline Ca5Bi2Sb2 at its relaxed geometry, from the Alexandria database.

a b c (Å): 16.409 8.358 8.354
angles (deg): 90.00 90.00 90.00
Space group Cmce (No. 64)
One atom of each set of equivalent atoms:
Ca1 0.000 0.000 0.000
Ca2 0.141 0.168 0.333
Bi1 0.202 0.000 0.000
Sb1 0.000 0.126 0.626

Summary:
**V**: 1145.8 Å³ per cell
**Energy**: -136.448 eV for the cell shown

| no. | magnetization (μB per atom) |
| --- | --- |
| 1 | 0.00 |
| 2 | 0.00 |
| 3 | 0.00 |
| 4 | 0.00 |
| 5 | 0.00 |
| 6 | 0.00 |
| 7 | 0.00 |
| 8 | 0.20 |
| 9 | 1.63 |
| 10 | 0.00 |
| 11 | 0.00 |
| 12 | 0.00 |